DFT (SCAN) results for a PBEsol-optimized structure of RbTiNbS2.

Uncorrected formation energy in eV/atom: 1.691
SG: P4/mmm, No. 123
Calculated volume in Å³ per atom: 28.0
Magnetization in μB/atom: 1.1984

Structure (CIF):
```
data_RbTiNbS2
_cell_length_a 4.7431
_cell_length_b 5.4374
_cell_length_c 5.4374
_cell_angle_alpha 90.00
_cell_angle_beta 90.00
_cell_angle_gamma 90.00
_space_group_name_H-M_alt 'P 1'
_space_group_IT_number 1
loop_
_space_group_symop_operation_xyz
'x,y,z'
loop_
_atom_site_label
_atom_site_type_symbol
_atom_site_fract_x
_atom_site_fract_y
_atom_site_fract_z
Nb1 Nb 0.5000 0.5000 0.5000
S1 S 0.0000 0.0000 0.5000
S2 S 0.0000 0.5000 0.0000
Rb1 Rb 0.0000 0.0000 0.0000
Ti1 Ti 0.5000 0.0000 0.0000
```